Entry 1:
# ScTc3Rh GGA-PBE optimized geometry
data_ScTc3Rh
_symmetry_space_group_name_H-M 'P m -3 m'
_symmetry_Int_Tables_number 221
_symmetry_space_group_name_Hall '-P 4 2 3'
_cell_length_a 4.487
_cell_length_b 4.487
_cell_length_c 4.487
_cell_angle_alpha 90.00
_cell_angle_beta 90.00
_cell_angle_gamma 90.00
loop_
_atom_site_label
_atom_site_type_symbol
_atom_site_fract_x
_atom_site_fract_y
_atom_site_fract_z
_atom_site_occupancy
Sc1 Sc 0.000 0.000 0.000 1
Tc1 Tc 0.000 0.000 0.500 1
Rh1 Rh 0.500 0.500 0.500 1
# - energy relative to the elements (eV per atom) = 1.869
# - D(E_F) (states/eV/f.u.) = 7.37
# - distance to the lowest polymorph of the same formula (meV per atom) = 550

Entry 2:
# ScTc4Rh GGA-PBE optimized geometry
data_ScTc4Rh
_symmetry_space_group_name_H-M 'F -4 3 m'
_symmetry_Int_Tables_number 216
_symmetry_space_group_name_Hall 'F -4 2 3'
_cell_length_a 7.283
_cell_length_b 7.283
_cell_length_c 7.283
_cell_angle_alpha 90.00
_cell_angle_beta 90.00
_cell_angle_gamma 90.00
loop_
_atom_site_label
_atom_site_type_symbol
_atom_site_fract_x
_atom_site_fract_y
_atom_site_fract_z
_atom_site_occupancy
Sc1 Sc 0.000 0.000 0.000 1
Tc1 Tc 0.125 0.125 0.375 1
Rh1 Rh 0.250 0.250 0.750 1
# - energy relative to the elements (eV per atom) = 0.038
# - D(E_F) (states/eV/f.u.) = 8.77

Entry 3:
# ScTc3Rh GGA-PBE optimized geometry
data_ScTc3Rh
_symmetry_space_group_name_H-M 'P m -3 m'
_symmetry_Int_Tables_number 221
_symmetry_space_group_name_Hall '-P 4 2 3'
_cell_length_a 4.664
_cell_length_b 4.664
_cell_length_c 4.664
_cell_angle_alpha 90.00
_cell_angle_beta 90.00
_cell_angle_gamma 90.00
loop_
_atom_site_label
_atom_site_type_symbol
_atom_site_fract_x
_atom_site_fract_y
_atom_site_fract_z
_atom_site_occupancy
Sc1 Sc 0.000 0.000 0.000 1
Tc1 Tc 0.000 0.500 0.500 1
Rh1 Rh 0.500 0.500 0.500 1
# - energy relative to the elements (eV per atom) = 1.319
# - D(E_F) (states/eV/f.u.) = 7.49
# - distance to the lowest polymorph of the same formula (meV per atom) = 0

Entry 4:
# Sc2TcRh2 GGA-PBE optimized geometry
data_Sc2TcRh2
_symmetry_space_group_name_H-M 'P 4/m b m'
_symmetry_Int_Tables_number 127
_symmetry_space_group_name_Hall '-P 4 2ab'
_cell_length_a 6.610
_cell_length_b 6.610
_cell_length_c 4.066
_cell_angle_alpha 90.00
_cell_angle_beta 90.00
_cell_angle_gamma 90.00
loop_
_atom_site_label
_atom_site_type_symbol
_atom_site_fract_x
_atom_site_fract_y
_atom_site_fract_z
_atom_site_occupancy
Sc1 Sc 0.175 0.325 0.000 1
Tc1 Tc 0.000 0.000 0.500 1
Rh1 Rh 0.139 0.639 0.500 1
# - energy relative to the elements (eV per atom) = -0.427
# - D(E_F) (states/eV/f.u.) = 4.58

Entry 5:
# ThScTcRh GGA-PBE optimized geometry
data_ThScTcRh
_symmetry_space_group_name_H-M 'F -4 3 m'
_symmetry_Int_Tables_number 216
_symmetry_space_group_name_Hall 'F -4 2 3'
_cell_length_a 6.811
_cell_length_b 6.811
_cell_length_c 6.811
_cell_angle_alpha 90.00
_cell_angle_beta 90.00
_cell_angle_gamma 90.00
loop_
_atom_site_label
_atom_site_type_symbol
_atom_site_fract_x
_atom_site_fract_y
_atom_site_fract_z
_atom_site_occupancy
Th1 Th 0.000 0.000 0.000 1
Sc1 Sc 0.000 0.000 0.500 1
Tc1 Tc 0.250 0.250 0.750 1
Rh1 Rh 0.250 0.250 0.250 1
# - energy relative to the elements (eV per atom) = -0.518
# - D(E_F) (states/eV/f.u.) = 3.02

Entry 6:
# TmScTcRh GGA-PBE optimized geometry
data_TmScTcRh
_symmetry_space_group_name_H-M 'F -4 3 m'
_symmetry_Int_Tables_number 216
_symmetry_space_group_name_Hall 'F -4 2 3'
_cell_length_a 6.606
_cell_length_b 6.606
_cell_length_c 6.606
_cell_angle_alpha 90.00
_cell_angle_beta 90.00
_cell_angle_gamma 90.00
loop_
_atom_site_label
_atom_site_type_symbol
_atom_site_fract_x
_atom_site_fract_y
_atom_site_fract_z
_atom_site_occupancy
Tm1 Tm 0.000 0.000 0.000 1
Sc1 Sc 0.000 0.000 0.500 1
Tc1 Tc 0.250 0.250 0.250 1
Rh1 Rh 0.250 0.250 0.750 1
# - energy relative to the elements (eV per atom) = -0.465
# - D(E_F) (states/eV/f.u.) = 4.92

Entry 7:
# ZrScTcRh GGA-PBE optimized geometry
data_ZrScTcRh
_symmetry_space_group_name_H-M 'P 4 m m'
_symmetry_Int_Tables_number 99
_symmetry_space_group_name_Hall 'P 4 -2'
_cell_length_a 3.273
_cell_length_b 3.273
_cell_length_c 6.521
_cell_angle_alpha 90.00
_cell_angle_beta 90.00
_cell_angle_gamma 90.00
loop_
_atom_site_label
_atom_site_type_symbol
_atom_site_fract_x
_atom_site_fract_y
_atom_site_fract_z
_atom_site_occupancy
Zr1 Zr 0.000 0.000 0.000 1
Sc1 Sc 0.000 0.000 0.489 1
Tc1 Tc 0.500 0.500 0.238 1
Rh1 Rh 0.500 0.500 0.741 1
# - energy relative to the elements (eV per atom) = -0.628
# - D(E_F) (states/eV/f.u.) = 3.41

Entry 8:
# Sc2TeRh GGA-PBE optimized geometry
data_Sc2TeRh
_symmetry_space_group_name_H-M 'A m m 2'
_symmetry_Int_Tables_number 38
_symmetry_space_group_name_Hall 'A 2 -2'
_cell_length_a 4.128
_cell_length_b 3.769
_cell_length_c 10.750
_cell_angle_alpha 90.00
_cell_angle_beta 90.00
_cell_angle_gamma 90.00
loop_
_atom_site_label
_atom_site_type_symbol
_atom_site_fract_x
_atom_site_fract_y
_atom_site_fract_z
_atom_site_occupancy
Sc1 Sc 0.000 0.000 0.000 1
Sc2 Sc 0.500 0.000 0.303 1
Te1 Te 0.500 0.000 0.581 1
Rh1 Rh 0.000 0.000 0.758 1
# - D(E_F) (states/eV/f.u.) = 2.92
# - raw formation energy (eV/atom) = -0.89

| no. | V (Å³/f.u.) |
| --- | --- |
| 1 | 90 |
| 2 | 97 |
| 3 | 101 |
| 4 | 89 |
| 5 | 79 |
| 6 | 72 |
| 7 | 70 |
| 8 | 84 |